Compound: Ca3Pm3TmSe8
Source: the Alexandria database
Functional: GGA-PBE
Structure: relaxed

a = 8.3308 Å, b = 8.3308 Å, c = 20.6811 Å
α = 90.00°, β = 90.00°, γ = 120.00°
With the nearest neighbours (Å) after each atom.
Space group R-3m (No. 166, hexagonal axes)
One atom of each set of equivalent atoms:
1 Ca 0.0000 0.5000 0.0000 (multiplicity 9)  6 Se 2.94-2.96
2 Pm 0.0000 0.5000 0.5000 (multiplicity 9)  6 Se 2.96-2.97
3 Tm 0.0000 0.0000 0.5000 (multiplicity 3)  6 Se 2.87
4 Se 0.0000 0.0000 0.2513 (multiplicity 6)  3 Ca 2.94, 3 Pm 2.97
5 Se 0.0101 0.5051 0.2475 (multiplicity 18)  1 Tm 2.87, 2 Pm 2.96, 2 Ca 2.96

uncorrected energy = -244.5 eV per cell
formation energy (no corrections) = -1927 meV/atom
calculated volume = 414 Å³/f.u.
density of states at the Fermi level = 4.344 states/eV/f.u.